Crystalline Zr2BeSe at its relaxed geometry. Source: the Alexandria database, functional PBE-GGA.

abc: 3.382 3.355 6.354
angles: 90.00 97.15 90.00
Space group P2/m (No. 10)
Symmetry-distinct sites (fractional):
Zr1 0.027 0.000 0.263
Be1 0.500 0.500 0.500
Se1 0.500 0.500 0.000

Computed properties:
Energy relative to the lowest polymorph listed for this composition ... 0.267 eV/atom
N(E_F) ... 0.4376 states/eV per atom
Uncorrected formation energy ... -430 meV per atom
Total DFT energy (no corrections) ... -0.478 Ry/atom
Calculated volume ... 72 Å³ per cell